This record from the Open Quantum Materials Database describes HfBe4Fe after structural relaxation. The functional is PBE-GGA.

```
HfBe4Fe
1.0
3.614 -1.827 -1.796
2.516 -2.749 2.396
0.062 -4.330 -0.936
Be Fe Hf
4 1 1
Cartesian
2.342 -5.520 -0.600 Be
3.587 -4.718 1.090 Be
2.311 -3.323 -0.125 Be
4.145 -4.250 -1.036 Be
0.000 0.000 0.000 Fe
4.644 -6.679 -0.252 Hf
```

Values from the calculation:
Volume: 61 Å³/cell
Symmetry: F-43m, No. 216
Raw total energy: -5.84 eV per atom
M_tot: 0.000 μB per atom



This record from the Open Quantum Materials Database describes SmAg2Au after structural relaxation. The functional is PBE-GGA.

```
SmAg2Au
1.0
-0.973 -4.702 1.672
-1.602 -1.711 -5.744
5.005 -1.385 -0.983
Ag Au Sm
4 2 2
Cartesian
1.352 -0.928 -1.823 Ag
2.366 -3.663 -1.196 Ag
0.574 -1.759 -4.614 Ag
1.542 -4.543 -4.150 Ag
0.372 -2.588 0.667 Au
3.346 -2.003 -3.687 Au
-0.579 -3.402 -2.175 Sm
4.297 -1.189 -0.844 Sm
```

Values from the calculation:
Volume: 167 Å³/cell
Symmetry: Pmmn, No. 59
Formation energy: -0.428 eV/atom
Raw total energy: -3.83 eV per atom
M_tot: 0.001 μB per atom



This record from the Open Quantum Materials Database describes Gd2DyMg3Ir2Pd after structural relaxation. The functional is PBE-GGA.

```
Gd2DyMg3Ir2Pd
1.0
-0.052 0.546 -3.988
-2.717 -6.799 -0.896
-4.590 5.712 0.843
Gd Mg Pd Dy Ir
2 3 1 1 2
Cartesian
-5.721 2.882 0.469 Gd
-4.627 -4.421 -0.545 Gd
-6.655 0.873 -1.826 Mg
-1.845 0.003 -2.007 Mg
-6.190 -2.229 -2.257 Mg
-7.297 -1.085 -0.054 Pd
-4.273 -0.635 -0.031 Dy
-3.993 1.800 -1.733 Ir
-3.373 -2.341 -2.309 Ir
```

Values from the calculation:
Volume: 190 Å³/cell
Symmetry: Amm2, No. 38
Raw total energy: -5.30 eV per atom
M_tot: 0.001 μB per atom



This record from the Open Quantum Materials Database describes TaBi3 after structural relaxation. The functional is PBE-GGA.

```
TaBi3
1.0
5.903 0.588 0.499
1.651 3.294 4.675
-3.665 -4.634 -0.729
Ta Bi
1 3
Cartesian
0.000 0.000 0.000 Ta
0.881 0.301 3.266 Bi
3.777 1.941 2.587 Bi
3.007 -1.052 1.178 Bi
```

Values from the calculation:
Volume: 107 Å³/cell
Symmetry: I4/mmm, No. 139
Raw total energy: -5.31 eV per atom
M_tot: 0.190 μB per atom